LiZnGaPd2: relaxed, PBE-GGA.

The space group is P4/mmm (No. 123) and the conventional cell measures 4.738, 4.738 and 4.603 Å, with angles of 90.00, 90.00 and 90.00 degrees. The asymmetric unit holds Li at (0.000, 0.000, 0.000), Zn at (0.500, 0.500, 0.500), Ga at (0.500, 0.500, 0.000) and Pd at (0.000, 0.500, 0.500).

For the energy relative to the elements, the calculation gives 18.06 kJ/mol of atoms. Its crystal system is tetragonal.